! NaGa2Tc2 (PBE, relaxed); values from VASP
! E_form   0.236 eV per atom
! Space-group type   P4/mbm (127)
! E   -5.385 eV/atom
! Excess energy over the best structure of this formula in the dataset   172 meV per atom
&SYSTEM
  ibrav = 0, nat = 10, ntyp = 3
/
ATOMIC_SPECIES
Ga 69.72 Ga.upf
Tc 98.00 Tc.upf
Na 22.99 Na.upf
CELL_PARAMETERS angstrom
6.952 0.000 0.000
0.000 6.952 0.000
0.000 0.000 3.295
ATOMIC_POSITIONS angstrom
Ga 6.016 4.412 0.000
Ga 4.412 0.936 0.000
Ga 0.936 2.540 0.000
Ga 2.540 6.016 0.000
Tc 4.587 5.841 1.648
Tc 1.111 4.587 1.648
Tc 2.365 1.111 1.648
Tc 5.841 2.365 1.648
Na 3.476 3.476 0.000
Na 0.000 0.000 0.000

=====

! NaGa3Tc (PBE, relaxed); values from VASP
! E_form   -0.107 eV per atom
! Space-group type   Pm-3m (221)
! E   -4.260 eV/atom
! Excess energy over the best structure of this formula in the dataset   4 meV per atom
&SYSTEM
  ibrav = 0, nat = 5, ntyp = 3
/
ATOMIC_SPECIES
Ga 69.72 Ga.upf
Tc 98.00 Tc.upf
Na 22.99 Na.upf
CELL_PARAMETERS angstrom
4.854 0.000 0.000
0.000 4.854 0.000
0.000 0.000 4.854
ATOMIC_POSITIONS angstrom
Ga 2.427 0.000 0.000
Ga 0.000 2.427 0.000
Ga 0.000 0.000 2.427
Tc 0.000 0.000 0.000
Na 2.427 2.427 2.427

=====

! NaGaTc (PBE, relaxed); values from VASP
! E_form   -0.043 eV per atom
! Space-group type   P4/nmm (129)
! E   -4.947 eV/atom
! Excess energy over the best structure of this formula in the dataset   0 meV per atom
&SYSTEM
  ibrav = 0, nat = 6, ntyp = 3
/
ATOMIC_SPECIES
Tc 98.00 Tc.upf
Ga 69.72 Ga.upf
Na 22.99 Na.upf
CELL_PARAMETERS angstrom
3.015 0.000 0.000
0.000 3.015 0.000
0.000 0.000 12.712
ATOMIC_POSITIONS angstrom
Tc 1.507 0.000 5.612
Tc 0.000 1.507 7.100
Ga 1.507 0.000 8.809
Ga 0.000 1.507 3.903
Na 0.000 1.507 11.114
Na 1.507 0.000 1.598

=====

! Na2GaTcTe (PBE, relaxed); values from VASP
! Raw formation energy   289 kJ/mol of formula units
! Space-group type   P4/mmm (123)
! E   -3.236 eV/atom
&SYSTEM
  ibrav = 0, nat = 5, ntyp = 4
/
ATOMIC_SPECIES
Ga 69.72 Ga.upf
Te 127.60 Te.upf
Na 22.99 Na.upf
Tc 98.00 Tc.upf
CELL_PARAMETERS angstrom
-0.803 4.500 -3.427
-4.341 -2.027 -1.645
-2.833 2.675 4.177
ATOMIC_POSITIONS angstrom
Ga -3.988 2.574 -0.447
Te 0.000 0.000 0.000
Na -0.402 2.250 -1.713
Na -1.417 1.338 2.089
Tc -2.170 -1.014 -0.823

=====

! NaZnGa2Tc (PBE, relaxed); values from VASP
! E_form   0.068 eV per atom
! Space-group type   P4/mmm (123)
! E   -3.735 eV/atom
&SYSTEM
  ibrav = 0, nat = 5, ntyp = 4
/
ATOMIC_SPECIES
Ga 69.72 Ga.upf
Zn 65.41 Zn.upf
Tc 98.00 Tc.upf
Na 22.99 Na.upf
CELL_PARAMETERS angstrom
4.826 0.000 0.000
0.000 4.826 0.000
0.000 0.000 4.933
ATOMIC_POSITIONS angstrom
Ga 0.000 2.413 0.000
Ga 2.413 0.000 0.000
Zn 0.000 0.000 2.467
Tc 0.000 0.000 0.000
Na 2.413 2.413 2.467

=====

! NaGaTe (PBE, relaxed); values from VASP
! Raw formation energy   -126 kJ/mol of formula units
! Space-group type   P3m1 (156)
! E   -2.930 eV/atom
! Excess energy over the best structure of this formula in the dataset   16 meV per atom
&SYSTEM
  ibrav = 0, nat = 3, ntyp = 3
/
ATOMIC_SPECIES
Ga 69.72 Ga.upf
Te 127.60 Te.upf
Na 22.99 Na.upf
CELL_PARAMETERS angstrom
-0.505 4.043 4.240
0.436 -3.001 2.913
3.391 1.989 -1.493
ATOMIC_POSITIONS angstrom
Ga -0.022 0.175 0.183
Te 1.270 -0.128 2.713
Na 2.074 2.985 2.764

=====

! Na2Ga2Te (PBE, relaxed); values from VASP
! Raw formation energy   -89 kJ/mol of formula units
! Space-group type   P4/mbm (127)
! E   -2.551 eV/atom
! Excess energy over the best structure of this formula in the dataset   0 meV per atom
&SYSTEM
  ibrav = 0, nat = 10, ntyp = 3
/
ATOMIC_SPECIES
Ga 69.72 Ga.upf
Te 127.60 Te.upf
Na 22.99 Na.upf
CELL_PARAMETERS angstrom
7.554 0.000 0.000
0.000 7.554 0.000
0.000 0.000 4.668
ATOMIC_POSITIONS angstrom
Ga 2.857 6.634 0.000
Ga 4.698 0.920 0.000
Ga 0.920 2.857 0.000
Ga 6.634 4.698 0.000
Te 3.777 3.777 0.000
Te 0.000 0.000 0.000
Na 5.112 6.220 2.334
Na 2.442 1.335 2.334
Na 6.220 2.442 2.334
Na 1.335 5.112 2.334

=====

! Na2GaTe5 (PBE, relaxed); values from VASP
! Raw formation energy   -277 kJ/mol of formula units
! Space-group type   Cm (8)
! E   -3.030 eV/atom
&SYSTEM
  ibrav = 0, nat = 8, ntyp = 3
/
ATOMIC_SPECIES
Te 127.60 Te.upf
Na 22.99 Na.upf
Ga 69.72 Ga.upf
CELL_PARAMETERS angstrom
-2.317 -1.269 -8.067
-1.948 -8.058 1.827
-0.905 5.536 3.855
ATOMIC_POSITIONS angstrom
Te -1.198 -2.214 -1.473
Te -2.392 -2.868 -5.629
Te -2.200 -6.365 -0.533
Te -2.338 -4.607 -3.070
Te -3.394 -7.019 -4.688
Na -2.665 -3.544 1.323
Na -2.850 -0.149 -3.624
Ga -0.482 0.139 0.116

=====

! NaGa2Te4 (PBE, relaxed); values from VASP
! Raw formation energy   -254 kJ/mol of formula units
! Space-group type   Cccm (66)
! E   -3.224 eV/atom
! Excess energy over the best structure of this formula in the dataset   0 meV per atom
&SYSTEM
  ibrav = 0, nat = 14, ntyp = 3
/
ATOMIC_SPECIES
Ga 69.72 Ga.upf
Te 127.60 Te.upf
Na 22.99 Na.upf
CELL_PARAMETERS angstrom
6.680 0.085 0.000
-3.198 5.865 0.000
0.000 0.000 11.475
ATOMIC_POSITIONS angstrom
Ga 4.268 1.491 5.738
Ga 4.273 1.499 0.000
Ga -0.787 4.459 5.738
Ga -0.791 4.452 0.000
Te 1.863 4.823 0.000
Te -1.599 2.933 9.436
Te 3.340 0.043 7.776
Te 3.292 3.987 5.738
Te 1.619 1.127 0.000
Te 3.340 0.043 3.699
Te 0.190 1.964 5.738
Te -1.599 2.933 2.039
Na 1.741 2.975 8.606
Na 1.741 2.975 2.869

=====

! NaGa2Te3 (PBE, relaxed); values from VASP
! Raw formation energy   -246 kJ/mol of formula units
! Space-group type   C2/m (12)
! E   -3.225 eV/atom
&SYSTEM
  ibrav = 0, nat = 12, ntyp = 3
/
ATOMIC_SPECIES
Ga 69.72 Ga.upf
Te 127.60 Te.upf
Na 22.99 Na.upf
CELL_PARAMETERS angstrom
4.890 0.000 0.000
0.000 8.314 -0.277
-2.445 -2.513 10.802
ATOMIC_POSITIONS angstrom
Ga 2.445 4.362 9.501
Ga 0.000 3.562 6.311
Ga 2.445 2.239 4.214
Ga 0.000 1.439 1.024
Te 0.000 3.141 8.958
Te 2.445 2.660 1.567
Te 2.445 4.643 5.582
Te 2.445 -1.351 9.141
Te 0.000 1.158 4.943
Te 0.000 7.152 1.384
Na 0.000 0.061 7.999
Na 2.445 5.740 2.526

=====

! NaGaTe (PBE, relaxed); values from VASP
! Raw formation energy   -88 kJ/mol of formula units
! Space-group type   Immm (71)
! E   -2.799 eV/atom
! Excess energy over the best structure of this formula in the dataset   146 meV per atom
&SYSTEM
  ibrav = 0, nat = 6, ntyp = 3
/
ATOMIC_SPECIES
Na 22.99 Na.upf
Te 127.60 Te.upf
Ga 69.72 Ga.upf
CELL_PARAMETERS angstrom
5.443 0.000 0.000
0.000 4.347 0.000
-2.721 -2.174 7.858
ATOMIC_POSITIONS angstrom
Na 2.721 0.000 2.289
Na 0.000 2.174 5.569
Te 2.721 0.000 5.558
Te 0.000 2.174 2.300
Ga 3.949 2.174 0.000
Ga 1.494 2.174 0.000

=====

! NaGa2Te2 (PBE, relaxed); values from VASP
! Raw formation energy   -139 kJ/mol of formula units
! Space-group type   P4/mbm (127)
! E   -3.019 eV/atom
! Excess energy over the best structure of this formula in the dataset   63 meV per atom
&SYSTEM
  ibrav = 0, nat = 10, ntyp = 3
/
ATOMIC_SPECIES
Te 127.60 Te.upf
Na 22.99 Na.upf
Ga 69.72 Ga.upf
CELL_PARAMETERS angstrom
8.450 0.000 0.000
0.000 8.450 0.000
0.000 0.000 3.954
ATOMIC_POSITIONS angstrom
Te 6.240 6.435 1.977
Te 2.015 6.240 1.977
Te 2.210 2.015 1.977
Te 6.435 2.210 1.977
Na 0.000 0.000 0.000
Na 4.225 4.225 0.000
Ga 0.895 3.330 0.000
Ga 7.554 5.120 0.000
Ga 5.120 0.895 0.000
Ga 3.330 7.554 0.000